DFT (PBE) results for crystalline Hf2ScSn2 at its relaxed geometry.

The structure in POSCAR format:
```
Hf2ScSn2
1.0
7.6306 0.0000 0.0000
0.0000 7.6306 0.0000
0.0000 0.0000 3.9051
Hf Sc Sn
4 2 4
direct
0.1615 0.3385 0.0000 Hf
0.3385 0.8385 0.0000 Hf
0.6615 0.1615 0.0000 Hf
0.8385 0.6615 0.0000 Hf
0.0000 0.0000 0.5000 Sc
0.5000 0.5000 0.5000 Sc
0.1392 0.6392 0.5000 Sn
0.3608 0.1392 0.5000 Sn
0.6392 0.8608 0.5000 Sn
0.8608 0.3608 0.5000 Sn
```

Properties
The magnetic moment comes out at 0.00 μB per cell. Its formation enthalpy at 0 K is -0.36 eV per atom. The uncorrected energy is -72.10 eV/cell. As for the space-group type: P4/mbm.